1.
This record from Alexandria via LeMat-Bulk describes a geometry-optimized Ce8Th3 structure. The functional is GGA-PBE.

Results
Fermi-level density of states: 24.0 states/eV/f.u.
Total magnetic moment: 0.0 μB/cell
Calculated total energy: -139.12 eV/cell

```
data_Ce8Th3
_symmetry_space_group_name_H-M 'C 1 2/m 1'
_symmetry_Int_Tables_number 12
_cell_length_a 10.780
_cell_length_b 4.818
_cell_length_c 12.351
_cell_angle_alpha 90.00
_cell_angle_beta 105.38
_cell_angle_gamma 90.00
loop_
_symmetry_equiv_pos_as_xyz
'x,y,z'
'-x,-y,-z'
'-x,y,-z'
'x,-y,z'
'x+1/2,y+1/2,z'
'-x+1/2,-y+1/2,-z'
'-x+1/2,y+1/2,-z'
'x+1/2,-y+1/2,z'
loop_
_atom_site_label
_atom_site_fract_x
_atom_site_fract_y
_atom_site_fract_z
Ce1 0.045 0.000 0.319
Ce2 0.137 0.000 0.955
Ce3 0.181 0.500 0.772
Ce4 0.227 0.000 0.590
Th1 0.000 0.500 0.500
Th2 0.091 0.500 0.138
```

2.
This record from Alexandria via LeMat-Bulk describes a geometry-optimized LaZn2RuF structure. The functional is GGA-PBE.

Results
Fermi-level density of states: 3.5 states/eV/f.u.
Total magnetic moment: 0.0 μB/cell
Calculated total energy: -19.57 eV/cell

```
data_LaZn2RuF
_symmetry_space_group_name_H-M 'P 4/m m m'
_symmetry_Int_Tables_number 123
_symmetry_space_group_name_Hall '-P 4 2'
_cell_length_a 4.547
_cell_length_b 4.547
_cell_length_c 4.559
_cell_angle_alpha 90.00
_cell_angle_beta 90.00
_cell_angle_gamma 90.00
loop_
_atom_site_label
_atom_site_fract_x
_atom_site_fract_y
_atom_site_fract_z
La1 0.000 0.000 0.000
Zn1 0.000 0.500 0.500
Ru1 0.500 0.500 0.000
F1 0.500 0.500 0.500
```

3.
This record from Alexandria via LeMat-Bulk describes a geometry-optimized K3SmPa3Te8 structure. The functional is GGA-PBE.

Results
Fermi-level density of states: 20.8 states/eV/f.u.
Total magnetic moment: 15.1 μB/cell
Calculated total energy: -231.33 eV/cell

```
data_K3SmPa3Te8
_symmetry_space_group_name_H-M 'R -3 m'
_symmetry_Int_Tables_number 166
_symmetry_space_group_name_Hall '-R 3 2"'
_cell_length_a 8.8181
_cell_length_b 8.8181
_cell_length_c 25.5519
_cell_angle_alpha 90.00
_cell_angle_beta 90.00
_cell_angle_gamma 120.00
loop_
_atom_site_label
_atom_site_fract_x
_atom_site_fract_y
_atom_site_fract_z
K1 0.0000 0.5000 0.0000
Sm1 0.0000 0.0000 0.5000
Pa1 0.0000 0.5000 0.5000
Te1 0.0000 0.0000 0.2382
Te2 0.0067 0.5033 0.7623
```

4.
This record from Alexandria via LeMat-Bulk describes a geometry-optimized Rb2Ag2Hg structure. The functional is GGA-PBE.

Results
Fermi-level density of states: 2.7 states/eV/f.u.
Total magnetic moment: 0.0 μB/cell
Calculated total energy: -15.70 eV/cell

```
data_Rb2Ag2Hg
_symmetry_space_group_name_H-M 'I 4/m m m'
_symmetry_Int_Tables_number 139
_symmetry_space_group_name_Hall '-I 4 2'
_cell_length_a 3.986
_cell_length_b 3.986
_cell_length_c 22.473
_cell_angle_alpha 90.00
_cell_angle_beta 90.00
_cell_angle_gamma 90.00
loop_
_atom_site_label
_atom_site_fract_x
_atom_site_fract_y
_atom_site_fract_z
Rb1 0.000 0.000 0.115
Ag1 0.000 0.500 0.250
Hg1 0.000 0.000 0.500
```

5.
This record from Alexandria via LeMat-Bulk describes a geometry-optimized MnNb2CrH structure. The functional is GGA-PBE.

Results
Fermi-level density of states: 2.5 states/eV/f.u.
Total magnetic moment: 0.0 μB/cell
Calculated total energy: -42.25 eV/cell

```
data_MnNb2CrH
_symmetry_space_group_name_H-M 'P 4/m m m'
_symmetry_Int_Tables_number 123
_symmetry_space_group_name_Hall '-P 4 2'
_cell_length_a 4.373
_cell_length_b 4.373
_cell_length_c 3.218
_cell_angle_alpha 90.00
_cell_angle_beta 90.00
_cell_angle_gamma 90.00
loop_
_atom_site_label
_atom_site_fract_x
_atom_site_fract_y
_atom_site_fract_z
Mn1 0.000 0.000 0.000
Nb1 0.000 0.500 0.500
Cr1 0.500 0.500 0.000
H1 0.500 0.500 0.500
```

6.
This record from Alexandria via LeMat-Bulk describes a geometry-optimized CaBSe2N structure. The functional is GGA-PBE.

Results
Fermi-level density of states: 6.7 states/eV/f.u.
Total magnetic moment: 0.0 μB/cell
Calculated total energy: -15.61 eV/cell

```
data_CaBSe2N
_symmetry_space_group_name_H-M 'P 4/m m m'
_symmetry_Int_Tables_number 123
_symmetry_space_group_name_Hall '-P 4 2'
_cell_length_a 5.481
_cell_length_b 5.481
_cell_length_c 4.362
_cell_angle_alpha 90.00
_cell_angle_beta 90.00
_cell_angle_gamma 90.00
loop_
_atom_site_label
_atom_site_fract_x
_atom_site_fract_y
_atom_site_fract_z
Ca1 0.000 0.000 0.000
B1 0.500 0.500 0.500
Se1 0.000 0.500 0.000
N1 0.000 0.000 0.500
```